Record 1
Compound: NaYN3
Source: Alexandria via LeMat-Bulk
Functional: PBE
Structure: optimized geometry

Computed properties:
E_form (uncorrected)	456	kJ/mol of formula units

Cell lengths 4.5390, 4.5390, 4.5390 Å; angles 90.00, 90.00, 90.00 degrees
Closest atoms and distances in Å follow each position.
Space group Pm-3m (No. 221)
Unique sites:
Na 0.0000 0.0000 0.0000 [1 per cell]  12 N 3.21
Y 0.5000 0.5000 0.5000 [1 per cell]  6 N 2.27
N 0.0000 0.5000 0.5000 [3 per cell]  2 Y 2.27

---

Record 2
Compound: AlV3Co
Source: Alexandria via LeMat-Bulk
Functional: PBE
Structure: optimized geometry

Computed properties:
DFT formation energy	0.59	eV per formula unit
excess energy over the best structure of this formula in the dataset	0	meV/atom

Cell lengths 9.4665, 10.1602, 6.0470 Å; angles 90.00, 95.24, 90.00 degrees
Closest atoms and distances in Å follow each position.
Space group C2/c (No. 15)
Unique sites:
Al 0.1363 0.1919 0.1209 [8 per cell]  2 Co 2.42-2.49, 1 V 2.71
V 0.1059 0.4266 0.9053 [8 per cell]  2 Co 2.42-2.45, 4 V 2.46-2.62
V 0.1463 0.3025 0.5480 [8 per cell]  2 Co 2.29-2.36, 2 V 2.35-2.56
V 0.2147 0.0581 0.7639 [8 per cell]  1 Co 2.32, 2 V 2.46-2.51
Co 0.0000 0.1692 0.7500 [4 per cell]  4 V 2.32-2.36, 2 Al 2.49
Co 0.0000 0.3736 0.2500 [4 per cell]  6 V 2.29-2.45, 2 Al 2.42

---

Record 3
Compound: LiSi4Tc
Source: Alexandria via LeMat-Bulk
Functional: PBE
Structure: optimized geometry

Computed properties:
E_form (uncorrected)	149	kJ/mol of formula units

Cell lengths 6.8767, 6.8767, 6.8767 Å; angles 90.00, 90.00, 90.00 degrees
Closest atoms and distances in Å follow each position.
Space group F-43m (No. 216)
Unique sites:
Li 0.0000 0.0000 0.0000 [4 per cell]  12 Si 2.85, 4 Tc 2.98
Si 0.1251 0.1251 0.3749 [16 per cell]  6 Si 2.43
Tc 0.2500 0.2500 0.7500 [4 per cell]  12 Si 2.85, 4 Li 2.98

---

Record 4
Compound: CaTePd
Source: Alexandria via LeMat-Bulk
Functional: PBE
Structure: optimized geometry

Computed properties:
E_form (uncorrected)	-306	kJ/mol of formula units

Cell lengths 4.5753, 4.5753, 4.1216 Å; angles 90.00, 90.00, 120.00 degrees
Closest atoms and distances in Å follow each position.
Space group P3m1 (No. 156)
Unique sites:
Ca 0.0000 0.0000 0.0000 [1 per cell]  6 Pd 3.35, 6 Te 3.35
Te 0.6667 0.3333 0.5007 [1 per cell]  3 Pd 2.64
Pd 0.3333 0.6667 0.4982 [1 per cell]  3 Te 2.64

---

Record 5
Compound: Ti2ZnAgH
Source: Alexandria via LeMat-Bulk
Functional: PBE
Structure: optimized geometry

Computed properties:
excess energy over the best structure of this formula in the dataset	17	meV/atom

Cell lengths 3.9778, 3.9778, 4.2330 Å; angles 90.00, 90.00, 90.00 degrees
Closest atoms and distances in Å follow each position.
Space group P4/mmm (No. 123)
Unique sites:
Ti 0.0000 0.5000 0.0000 [2 per cell]  2 H 1.99
Zn 0.0000 0.0000 0.5000 [1 per cell]  2 H 2.12
Ag 0.5000 0.5000 0.5000 [1 per cell]  4 Zn 2.81, 8 Ti 2.90
H 0.0000 0.0000 0.0000 [1 per cell]  4 Ti 1.99, 2 Zn 2.12

---

no.,total energy (eV/atom)
1,-5.6069
2,-7.5224
3,-5.4053
4,-4.5041
5,-4.7419